1.
! LiMg2Tl (PBE, optimized geometry); values from VASP
&SYSTEM
  ibrav = 0, nat = 4, ntyp = 3
/
ATOMIC_SPECIES
Li 6.94 Li.upf
Mg 24.30 Mg.upf
Tl 204.38 Tl.upf
ATOMIC_POSITIONS crystal
Li 0.0000 0.0000 0.0000
Mg 0.7500 0.7500 0.7500
Mg 0.2500 0.2500 0.2500
Tl 0.5000 0.5000 0.5000
CELL_PARAMETERS angstrom
0.0000 3.4957 3.4957
3.4957 0.0000 3.4957
3.4957 3.4957 0.0000
! Energy above the most stable polymorph in this dataset, kJ/mol of formula units: 10
! Space-group type: Fm-3m (225)

***

2.
! Li12Mg7Tl (PBE, optimized geometry); values from VASP
&SYSTEM
  ibrav = 0, nat = 20, ntyp = 3
/
ATOMIC_SPECIES
Li 6.94 Li.upf
Mg 24.30 Mg.upf
Tl 204.38 Tl.upf
ATOMIC_POSITIONS crystal
Li 0.7452 0.2584 0.1215
Li 0.8785 0.2548 0.7416
Li 0.8568 0.5071 0.3771
Li 0.1215 0.7452 0.2584
Li 0.4929 0.6229 0.1432
Li 0.5071 0.3771 0.8568
Li 0.6229 0.1432 0.4929
Li 0.2548 0.7416 0.8785
Li 0.1432 0.4929 0.6229
Li 0.3771 0.8568 0.5071
Li 0.2584 0.1215 0.7452
Li 0.7416 0.8785 0.2548
Mg 0.8476 0.6125 0.9373
Mg 0.1524 0.3875 0.0627
Mg 0.9373 0.8476 0.6125
Mg 0.6125 0.9373 0.8476
Mg 0.5000 0.5000 0.5000
Mg 0.3875 0.0627 0.1524
Mg 0.0627 0.1524 0.3875
Tl 0.0000 0.0000 0.0000
CELL_PARAMETERS angstrom
7.3565 0.7532 1.1305
-1.3220 7.2758 1.1305
-1.3220 -1.7590 7.1500
! Energy above the most stable polymorph in this dataset, kJ/mol of formula units: 0
! Space-group type: R-3 (148)

***

3.
! LiMg3Tl6 (PBE, optimized geometry); values from VASP
&SYSTEM
  ibrav = 0, nat = 20, ntyp = 3
/
ATOMIC_SPECIES
Tl 204.38 Tl.upf
Mg 24.30 Mg.upf
Li 6.94 Li.upf
ATOMIC_POSITIONS crystal
Tl 0.2774 0.4331 0.9024
Tl 0.7666 0.2812 0.7188
Tl 0.2957 0.9969 0.0031
Tl 0.7774 0.9024 0.4331
Tl 0.0679 0.7583 0.6233
Tl 0.0679 0.3767 0.2417
Tl 0.5679 0.2417 0.3767
Tl 0.7774 0.5669 0.0976
Tl 0.5679 0.6233 0.7583
Tl 0.7957 0.0031 0.9969
Tl 0.2774 0.0976 0.5669
Tl 0.2666 0.7188 0.2812
Mg 0.6068 0.5760 0.4240
Mg 0.1068 0.4240 0.5760
Mg 0.0357 0.7081 0.9378
Mg 0.5357 0.2919 0.0622
Mg 0.0357 0.0622 0.2919
Mg 0.5357 0.9378 0.7081
Li 0.0542 0.1427 0.8573
Li 0.5542 0.8573 0.1427
CELL_PARAMETERS angstrom
-3.4354 -1.1732 4.8405
0.3988 -9.8560 -2.1058
6.8745 4.3800 5.9406
! Energy above the most stable polymorph in this dataset, kJ/mol of formula units: 0
! Space-group type: Cmc2_1 (36)

***

4.
! LiMg6Tl (PBE, optimized geometry); values from VASP
&SYSTEM
  ibrav = 0, nat = 8, ntyp = 3
/
ATOMIC_SPECIES
Mg 24.30 Mg.upf
Tl 204.38 Tl.upf
Li 6.94 Li.upf
ATOMIC_POSITIONS crystal
Mg 0.0000 0.3374 0.1724
Mg 0.5000 0.6673 0.8347
Mg 0.0000 0.3360 0.6640
Mg 0.0000 0.8324 0.1676
Mg 0.5000 0.1653 0.3327
Mg 0.0000 0.8276 0.6626
Tl 0.5000 0.1662 0.8338
Li 0.5000 0.6677 0.3323
CELL_PARAMETERS angstrom
-3.6071 -1.3293 -3.5430
3.2525 3.1010 -4.4747
1.1146 -6.1332 1.1663
! Energy above the most stable polymorph in this dataset, kJ/mol of formula units: 0
! Space-group type: Amm2 (38)

***

5.
! LiMgTl (PBE, optimized geometry); values from VASP
&SYSTEM
  ibrav = 0, nat = 6, ntyp = 3
/
ATOMIC_SPECIES
Mg 24.30 Mg.upf
Li 6.94 Li.upf
Tl 204.38 Tl.upf
ATOMIC_POSITIONS crystal
Mg 0.7239 0.2500 0.4473
Mg 0.2761 0.7500 0.5527
Li 0.9445 0.7500 0.8882
Li 0.0555 0.2500 0.1118
Tl 0.4014 0.2500 0.7932
Tl 0.5986 0.7500 0.2068
CELL_PARAMETERS angstrom
-1.0405 -0.3262 -3.1996
2.6524 -4.0625 -0.4484
-5.6505 -4.1375 4.0620
! Energy above the most stable polymorph in this dataset, kJ/mol of formula units: 7
! Space-group type: P2_1/m (11)

***

6.
! Li7MgTl4 (PBE, optimized geometry); values from VASP
&SYSTEM
  ibrav = 0, nat = 12, ntyp = 3
/
ATOMIC_SPECIES
Tl 204.38 Tl.upf
Mg 24.30 Mg.upf
Li 6.94 Li.upf
ATOMIC_POSITIONS crystal
Tl 0.5615 0.2696 0.6075
Tl 0.3149 0.3375 0.0327
Tl 0.4385 0.7304 0.3925
Tl 0.6851 0.6625 0.9673
Mg 0.0000 0.0000 0.0000
Li 0.0776 0.5747 0.2702
Li 0.2014 0.1202 0.4770
Li 0.7986 0.8798 0.5230
Li 0.7509 0.2796 0.2186
Li 0.9224 0.4253 0.7298
Li 0.5000 0.0000 0.0000
Li 0.2491 0.7204 0.7814
CELL_PARAMETERS angstrom
-4.0259 -2.1794 2.2413
-4.7490 -3.0141 -5.6650
0.4242 -7.4306 -0.6673
! Energy above the most stable polymorph in this dataset, kJ/mol of formula units: 82
! Space-group type: C2/m (12)

***

7.
! LiMgTl2 (PBE, optimized geometry); values from VASP
&SYSTEM
  ibrav = 0, nat = 4, ntyp = 3
/
ATOMIC_SPECIES
Tl 204.38 Tl.upf
Li 6.94 Li.upf
Mg 24.30 Mg.upf
ATOMIC_POSITIONS crystal
Tl 0.5000 0.1250 0.3729
Tl 0.0000 0.1250 0.8772
Li 0.0000 0.6248 0.3780
Mg 0.5000 0.6251 0.8719
CELL_PARAMETERS angstrom
-2.3885 -0.5569 -4.4457
-1.3954 -3.1196 1.1405
-4.0260 2.4784 1.8525
! Space-group type: Pmm2 (25)

***

8.
! LiMgTl2 (PBE, optimized geometry); values from VASP
&SYSTEM
  ibrav = 0, nat = 4, ntyp = 3
/
ATOMIC_SPECIES
Tl 204.38 Tl.upf
Li 6.94 Li.upf
Mg 24.30 Mg.upf
ATOMIC_POSITIONS crystal
Tl 0.2538 0.2538 0.2385
Tl 0.0796 0.0796 0.7611
Li 0.6664 0.6664 0.0009
Mg 0.5002 0.5002 0.4995
CELL_PARAMETERS angstrom
-1.1758 -3.1071 0.9029
1.5253 -2.8373 -1.2144
5.9226 -2.0279 7.2971
! Space-group type: R3m (160)

***

9.
! LiMg5Tl3 (PBE, optimized geometry); values from VASP
&SYSTEM
  ibrav = 0, nat = 18, ntyp = 3
/
ATOMIC_SPECIES
Mg 24.30 Mg.upf
Tl 204.38 Tl.upf
Li 6.94 Li.upf
ATOMIC_POSITIONS crystal
Mg 0.0000 0.6667 0.3333
Mg 0.7500 0.3330 0.0000
Mg 0.5000 0.6667 0.3333
Mg 0.2500 0.6670 0.0000
Mg 0.7500 0.6669 0.6669
Mg 0.5000 0.3333 0.6667
Mg 0.7500 0.0000 0.3331
Mg 0.2500 0.0000 0.6669
Mg 0.2500 0.3331 0.3331
Mg 0.0000 0.3333 0.6667
Tl 0.7500 0.0000 0.6686
Tl 0.2500 0.3315 0.0000
Tl 0.7500 0.3314 0.3314
Tl 0.7500 0.6685 0.0000
Tl 0.2500 0.0000 0.3314
Tl 0.2500 0.6686 0.6686
Li 0.5000 0.0000 0.0000
Li 0.0000 0.0000 0.0000
CELL_PARAMETERS angstrom
6.2814 0.0000 0.0000
0.0000 7.5981 -4.3869
0.0000 -0.0009 8.7719
! Energy above the most stable polymorph in this dataset, kJ/mol of formula units: 0
! Space-group type: P6_3/mcm (193)

***

10.
! LiMg6Tl3 (PBE, optimized geometry); values from VASP
&SYSTEM
  ibrav = 0, nat = 20, ntyp = 3
/
ATOMIC_SPECIES
Mg 24.30 Mg.upf
Tl 204.38 Tl.upf
Li 6.94 Li.upf
ATOMIC_POSITIONS crystal
Mg 0.3879 0.9369 0.0631
Mg 0.5345 0.3027 0.3747
Mg 0.1687 0.7042 0.2958
Mg 0.8691 0.4435 0.0391
Mg 0.6687 0.2958 0.7042
Mg 0.8879 0.0631 0.9369
Mg 0.5345 0.6253 0.6973
Mg 0.8691 0.9609 0.5565
Mg 0.3691 0.0391 0.4435
Mg 0.3691 0.5565 0.9609
Mg 0.0345 0.6973 0.6253
Mg 0.0345 0.3747 0.3027
Tl 0.6401 0.6154 0.3846
Tl 0.4052 0.2779 0.0567
Tl 0.9052 0.0567 0.2779
Tl 0.9052 0.7221 0.9433
Tl 0.4052 0.9433 0.7221
Tl 0.1401 0.3846 0.6154
Li 0.6712 0.7789 0.2211
Li 0.1712 0.2211 0.7789
CELL_PARAMETERS angstrom
-0.8147 -1.6326 -5.1393
9.6098 -2.5675 -0.7077
-6.4535 -6.8904 3.2119
! Energy above the most stable polymorph in this dataset, kJ/mol of formula units: 59
! Space-group type: Cmc2_1 (36)

***

11.
! Li2Mg2Tl3 (PBE, optimized geometry); values from VASP
&SYSTEM
  ibrav = 0, nat = 7, ntyp = 3
/
ATOMIC_SPECIES
Li 6.94 Li.upf
Tl 204.38 Tl.upf
Mg 24.30 Mg.upf
ATOMIC_POSITIONS crystal
Li 0.4569 0.7410 0.5833
Li 0.5431 0.2590 0.4167
Tl 0.7061 0.8258 0.2960
Tl 0.0000 0.0000 0.0000
Tl 0.2939 0.1742 0.7040
Mg 0.8580 0.4163 0.1509
Mg 0.1420 0.5837 0.8491
CELL_PARAMETERS angstrom
-1.0745 -1.3471 -4.5244
-3.6477 -0.2562 3.5383
1.0587 8.7622 2.2118
! Space-group type: P-1 (2)

***

12.
! LiMg14Tl (PBE, optimized geometry); values from VASP
&SYSTEM
  ibrav = 0, nat = 16, ntyp = 3
/
ATOMIC_SPECIES
Li 6.94 Li.upf
Mg 24.30 Mg.upf
Tl 204.38 Tl.upf
ATOMIC_POSITIONS crystal
Li 0.0427 0.9573 0.5000
Mg 0.2072 0.7928 0.0000
Mg 0.2071 0.2920 0.0000
Mg 0.0426 0.4541 0.5000
Mg 0.8771 0.6275 0.7495
Mg 0.3725 0.1229 0.7495
Mg 0.7080 0.7929 0.0000
Mg 0.3725 0.1229 0.2505
Mg 0.3735 0.6265 0.2495
Mg 0.8771 0.6275 0.2505
Mg 0.7075 0.2925 0.0000
Mg 0.3735 0.6265 0.7505
Mg 0.8747 0.1253 0.7508
Mg 0.8747 0.1253 0.2492
Mg 0.5459 0.9574 0.5000
Tl 0.5435 0.4565 0.5000
CELL_PARAMETERS angstrom
-1.6163 6.1188 -0.4838
-0.8762 -3.9115 -4.9212
-9.6220 -2.2640 3.5127
! Space-group type: Amm2 (38)

***

13.
! LiMg3Tl2 (PBE, optimized geometry); values from VASP
&SYSTEM
  ibrav = 0, nat = 6, ntyp = 3
/
ATOMIC_SPECIES
Mg 24.30 Mg.upf
Tl 204.38 Tl.upf
Li 6.94 Li.upf
ATOMIC_POSITIONS crystal
Mg 0.0000 0.5000 0.1649
Mg 0.0000 0.5000 0.8221
Mg 0.5000 0.5000 0.3418
Tl 0.0000 0.0000 0.5011
Tl 0.5000 0.0000 0.9967
Li 0.5000 0.5000 0.6734
CELL_PARAMETERS angstrom
-0.0512 -2.3945 -4.4748
2.3634 -2.0281 1.0582
-5.9519 -5.3943 2.9545
! Energy above the most stable polymorph in this dataset, kJ/mol of formula units: 64
! Space-group type: Pmm2 (25)

***

14.
! LiMg2Tl5 (PBE, optimized geometry); values from VASP
&SYSTEM
  ibrav = 0, nat = 16, ntyp = 3
/
ATOMIC_SPECIES
Mg 24.30 Mg.upf
Tl 204.38 Tl.upf
Li 6.94 Li.upf
ATOMIC_POSITIONS crystal
Mg 0.2244 0.4487 0.6388
Mg 0.7756 0.5513 0.3612
Mg 0.2244 0.4487 0.8612
Mg 0.7756 0.5513 0.1388
Tl 0.0623 0.1245 0.1074
Tl 0.3646 0.7292 0.4525
Tl 0.9377 0.8755 0.6074
Tl 0.0623 0.1245 0.3926
Tl 0.6354 0.2708 0.5475
Tl 0.9377 0.8755 0.8926
Tl 0.4759 0.9519 0.7500
Tl 0.5241 0.0481 0.2500
Tl 0.6354 0.2708 0.9525
Tl 0.3646 0.7292 0.0475
Li 0.2561 0.5122 0.2500
Li 0.7439 0.4878 0.7500
CELL_PARAMETERS angstrom
-4.6897 1.7172 -2.1041
3.8783 -2.6689 -3.8433
-5.9758 -12.8093 2.8651
! Energy above the most stable polymorph in this dataset, kJ/mol of formula units: 17
! Space-group type: Cmcm (63)

***

15.
! LiMgTl4 (PBE, optimized geometry); values from VASP
&SYSTEM
  ibrav = 0, nat = 6, ntyp = 3
/
ATOMIC_SPECIES
Tl 204.38 Tl.upf
Li 6.94 Li.upf
Mg 24.30 Mg.upf
ATOMIC_POSITIONS crystal
Tl 0.3751 0.3751 0.8746
Tl 0.3751 0.8746 0.3751
Tl 0.3751 0.3751 0.3751
Tl 0.8746 0.3751 0.3751
Li 0.7500 0.7500 0.7500
Mg 0.0000 0.0000 0.0000
CELL_PARAMETERS angstrom
0.0000 4.5230 4.5230
4.5230 0.0000 4.5230
4.5230 4.5230 0.0000
! Energy above the most stable polymorph in this dataset, kJ/mol of formula units: 112
! Space-group type: F-43m (216)

***

16.
! Li3Mg6Tl (PBE, optimized geometry); values from VASP
&SYSTEM
  ibrav = 0, nat = 20, ntyp = 3
/
ATOMIC_SPECIES
Mg 24.30 Mg.upf
Tl 204.38 Tl.upf
Li 6.94 Li.upf
ATOMIC_POSITIONS crystal
Mg 0.2600 0.0827 0.5296
Mg 0.6490 0.1454 0.2229
Mg 0.1490 0.2229 0.1454
Mg 0.5981 0.3513 0.6487
Mg 0.4929 0.1323 0.8677
Mg 0.9929 0.8677 0.1323
Mg 0.0981 0.6487 0.3513
Mg 0.6490 0.7771 0.8546
Mg 0.2600 0.4704 0.9173
Mg 0.1490 0.8546 0.7771
Mg 0.7600 0.9173 0.4704
Mg 0.7600 0.5296 0.0827
Tl 0.4248 0.8096 0.1904
Tl 0.9248 0.1904 0.8096
Li 0.2595 0.4565 0.5435
Li 0.4460 0.4566 0.2335
Li 0.7595 0.5435 0.4565
Li 0.4460 0.7665 0.5434
Li 0.9460 0.2335 0.4566
Li 0.9460 0.5434 0.7665
CELL_PARAMETERS angstrom
7.5222 0.0000 0.0000
0.0000 7.6125 -2.5618
0.0000 -0.5985 8.0097
! Energy above the most stable polymorph in this dataset, kJ/mol of formula units: 4
! Space-group type: Cmc2_1 (36)

***

17.
! LiMgTl (PBE, optimized geometry); values from VASP
&SYSTEM
  ibrav = 0, nat = 6, ntyp = 3
/
ATOMIC_SPECIES
Mg 24.30 Mg.upf
Tl 204.38 Tl.upf
Li 6.94 Li.upf
ATOMIC_POSITIONS crystal
Mg 0.4210 0.2560 0.2454
Mg 0.5790 0.7440 0.7546
Tl 0.2439 0.4117 0.7460
Tl 0.7561 0.5883 0.2540
Li 0.9139 0.0781 0.7479
Li 0.0861 0.9219 0.2521
CELL_PARAMETERS angstrom
5.3003 -0.0019 -0.0514
2.6119 4.5888 -0.0370
2.2715 1.7005 5.3892
! Energy above the most stable polymorph in this dataset, kJ/mol of formula units: 12
! Space-group type: P-1 (2)

***

18.
! LiMg2Tl (PBE, optimized geometry); values from VASP
&SYSTEM
  ibrav = 0, nat = 4, ntyp = 3
/
ATOMIC_SPECIES
Mg 24.30 Mg.upf
Tl 204.38 Tl.upf
Li 6.94 Li.upf
ATOMIC_POSITIONS crystal
Mg 0.5000 0.0000 0.5000
Mg 0.5000 0.5000 0.0000
Tl 0.0000 0.5000 0.5000
Li 0.0000 0.0000 0.0000
CELL_PARAMETERS angstrom
-2.8998 0.6604 3.1425
2.8374 -1.7606 2.9883
1.7354 4.0649 0.7471
! Energy above the most stable polymorph in this dataset, kJ/mol of formula units: 7
! Space-group type: P4/mmm (123)

***

19.
! Li4Mg3Tl2 (PBE, optimized geometry); values from VASP
&SYSTEM
  ibrav = 0, nat = 9, ntyp = 3
/
ATOMIC_SPECIES
Tl 204.38 Tl.upf
Mg 24.30 Mg.upf
Li 6.94 Li.upf
ATOMIC_POSITIONS crystal
Tl 0.3333 0.3334 0.7794
Tl 0.6667 0.6666 0.2206
Mg 0.0000 0.0000 0.0000
Mg 0.6668 0.6664 0.5664
Mg 0.3332 0.3336 0.4336
Li 0.6665 0.6670 0.8932
Li 0.0000 0.0001 0.3307
Li 0.0000 0.9999 0.6693
Li 0.3335 0.3330 0.1068
CELL_PARAMETERS angstrom
4.8477 0.0008 0.0007
2.4237 4.1956 0.1538
-0.0019 -0.3210 8.7891
! Energy above the most stable polymorph in this dataset, kJ/mol of formula units: 0
! Space-group type: P-3m1 (164)

***

20.
! LiMgTl (PBE, optimized geometry); values from VASP
&SYSTEM
  ibrav = 0, nat = 12, ntyp = 3
/
ATOMIC_SPECIES
Mg 24.30 Mg.upf
Li 6.94 Li.upf
Tl 204.38 Tl.upf
ATOMIC_POSITIONS crystal
Mg 0.2500 0.6991 0.4435
Mg 0.2500 0.1991 0.9435
Mg 0.7500 0.8009 0.9435
Mg 0.7500 0.3009 0.4435
Li 0.7500 0.8018 0.2755
Li 0.2500 0.6982 0.7755
Li 0.7500 0.3018 0.7755
Li 0.2500 0.1982 0.2755
Tl 0.7500 0.7970 0.6176
Tl 0.2500 0.2030 0.6176
Tl 0.2500 0.7030 0.1176
Tl 0.7500 0.2970 0.1176
CELL_PARAMETERS angstrom
5.2031 0.0000 0.0000
0.0000 5.2850 0.0000
0.0000 0.0000 9.4274
! Energy above the most stable polymorph in this dataset, kJ/mol of formula units: 11
! Space-group type: Ama2 (40)

***

21.
! LiMgTl2 (PBE, optimized geometry); values from VASP
&SYSTEM
  ibrav = 0, nat = 4, ntyp = 3
/
ATOMIC_SPECIES
Li 6.94 Li.upf
Mg 24.30 Mg.upf
Tl 204.38 Tl.upf
ATOMIC_POSITIONS crystal
Li 0.2500 0.2500 0.2500
Mg 0.7500 0.7500 0.7500
Tl 0.5032 0.5032 0.4898
Tl 0.9968 0.9968 0.0102
CELL_PARAMETERS angstrom
-4.1031 2.7366 -0.8444
-3.9633 1.9149 2.3796
2.3180 5.6491 1.3394
! Space-group type: C2/m (12)

***

22.
! Li4MgTl7 (PBE, optimized geometry); values from VASP
&SYSTEM
  ibrav = 0, nat = 12, ntyp = 3
/
ATOMIC_SPECIES
Li 6.94 Li.upf
Tl 204.38 Tl.upf
Mg 24.30 Mg.upf
ATOMIC_POSITIONS crystal
Li 0.6830 0.6502 0.9837
Li 0.5461 0.2839 0.6238
Li 0.4539 0.7161 0.3762
Li 0.3170 0.3498 0.0163
Tl 0.5000 0.0000 0.0000
Tl 0.7436 0.2937 0.2191
Tl 0.7979 0.8762 0.5280
Tl 0.2021 0.1238 0.4720
Tl 0.2564 0.7063 0.7809
Tl 0.9272 0.4103 0.7352
Tl 0.0728 0.5897 0.2648
Mg 0.0000 0.0000 0.0000
CELL_PARAMETERS angstrom
5.4866 0.0000 0.0000
2.7433 7.8440 1.0246
2.7433 1.1705 7.1389
! Space-group type: C2/m (12)

***

no.,total moment (Bohr magnetons per cell),E_form (eV per atom)
1,0.000,-0.10
2,0.000,-0.01
3,0.000,-0.01
4,0.000,-0.05
5,0.000,-0.16
6,0.000,-0.11
7,0.000,-0.14
8,0.000,-0.11
9,0.000,-0.06
10,0.000,0.00
11,0.000,-0.13
12,0.000,-0.02
13,0.000,0.02
14,0.000,-0.01
15,0.000,0.14
16,0.000,0.02
17,0.000,-0.14
18,0.000,-0.11
19,0.000,-0.16
20,0.000,-0.15
21,0.000,-0.10
22,0.000,-0.06